(1)
Computed, not measured: a relaxed structure of La2ZnPt at the PBE-GGA level of DFT.

Cell lengths 3.7423, 3.7343, 7.3377 Å; angles 90.00, 90.06, 90.00 degrees
Fractional positions:
La (0.9996, 0.0000, 0.2374)
La (0.0004, 0.0000, 0.7626)
Zn (0.5000, 0.5000, 0.5000)
Pt (0.5000, 0.5000, 0.0000)

- Formation energy from the elements: -700 meV/atom

(2)
Computed, not measured: a relaxed structure of Cd2IF at the PBE-GGA level of DFT.

Cell lengths 5.1482, 5.1482, 5.1482 Å; angles 60.00, 60.00, 60.00 degrees
Fractional positions:
Cd (0.2500, 0.2500, 0.2500)
Cd (0.7500, 0.7500, 0.7500)
I (0.0000, 0.0000, 0.0000)
F (0.5000, 0.5000, 0.5000)

- Distance to the lowest polymorph of the same formula: 249 meV/atom
- Formation energy (no corrections): -0.488 eV per atom

| no. | total moment (Bohr magnetons per cell) |
| --- | --- |
| 1 | 0.000 |
| 2 | 0.000 |